A plane-wave DFT calculation with GGA-PBE was carried out for a relaxed structure of Sr2SmPuN4.

abc: 6.1765 3.6215 6.3381
angles: 90.00 108.68 90.00
Closest atoms and distances in Å follow each position.
Space group P2/m (No. 10)
Asymmetric unit:
Sr  0.0000  0.0000  0.0000 x1  6 N 2.75-2.90
Sr  0.5000  0.5000  0.0000 x1  6 N 2.64-2.68
Sm  0.0000  0.5000  0.5000 x1  6 N 2.47-2.51
Pu  0.5000  0.0000  0.5000 x1  6 N 2.19-2.41
N  0.2695  0.0000  0.6997 x2  1 Pu 2.19
N  0.2747  0.5000  0.2906 x2  2 Pu 2.41, 1 Sm 2.47, 1 Sr 2.64

Properties
Its electronic total energy is -8.02 eV/atom. The value obtained for the formation energy (no corrections) is -1059 meV/atom. The value obtained for the theoretical density is 7.7 g/cm3.